1.
KGeBr3 | PBE | optimized geometry

symmetry = No. 1
final energy = -3.162 eV per atom
N(E_F) = 0.0 states/eV/f.u.

abc: 6.023 9.767 6.024
angles: 113.57 100.18 127.68
Atoms (fractional coordinates):
Br 0.168 0.185 0.069
Br 0.919 0.737 0.269
Br 0.019 0.387 0.716
Ge 0.368 0.325 0.798
K 0.370 0.659 0.462

=====

2.
Sr8Tl2Ge | PBE | optimized geometry

symmetry = No. 12
ΔE_f = -0.29 eV/atom
energy relative to the lowest polymorph listed for this composition = 0.00 eV/f.u.
N(E_F) = 7.9 states/eV/f.u.

abc: 5.790 7.952 10.540
angles: 108.04 105.94 90.00
Atoms (fractional coordinates):
Sr 0.207 0.306 0.415
Sr 0.793 0.694 0.585
Sr 0.660 0.958 0.320
Sr 0.406 0.570 0.812
Sr 0.594 0.430 0.188
Sr 0.340 0.042 0.680
Sr 0.973 0.206 0.946
Sr 0.027 0.794 0.054
Tl 0.819 0.297 0.639
Tl 0.181 0.703 0.361
Ge 0.500 0.000 0.000

=====

3.
ReNi5 | PBE | optimized geometry

symmetry = No. 65
ΔE_f = 0.02 eV/atom
energy relative to the lowest polymorph listed for this composition = 0.13 eV/f.u.
N(E_F) = 6.2 states/eV/f.u.

abc: 3.598 3.591 5.637
angles: 108.58 90.00 90.00
Atoms (fractional coordinates):
Ni 0.000 0.663 0.326
Ni 0.500 0.833 0.667
Ni 0.000 0.337 0.674
Ni 0.500 0.167 0.333
Ni 0.500 0.500 0.000
Re 0.000 0.000 0.000